# CoPdNO2, relaxed, DFT PBE with a Hubbard U
data_CoPdNO2
_space_group_name_H-M_alt 'P 1'
_space_group_IT_number 1
_cell_length_a 3.845
_cell_length_b 3.845
_cell_length_c 3.476
_cell_angle_alpha 90.00
_cell_angle_beta 90.00
_cell_angle_gamma 90.00
loop_
_space_group_symop_operation_xyz
'x,y,z'
loop_
_atom_site_label
_atom_site_fract_x
_atom_site_fract_y
_atom_site_fract_z
Co1 0.000 0.000 0.000
O1 0.500 0.000 0.000
O2 0.000 0.500 0.000
N1 0.000 0.000 0.500
Pd1 0.500 0.500 0.500
# E: -25.412 eV/f.u.
# calculated volume: 10.3 Å³/atom
# crystal system: tetragonal
# total moment: 0.808 μB/f.u.